Compound: RbLaAu2
Source: the Alexandria database
Functional: GGA-PBE
Structure: optimized geometry

Summary:
Energy relative to the elements ... -55 kJ per mole of atoms

Structure (CIF):
```
data_RbLaAu2
_cell_length_a 3.922
_cell_length_b 3.922
_cell_length_c 8.370
_cell_angle_alpha 90.00
_cell_angle_beta 90.00
_cell_angle_gamma 90.00
_space_group_name_H-M_alt 'P 1'
_space_group_IT_number 1
loop_
_space_group_symop_operation_xyz
'x,y,z'
loop_
_atom_site_label
_atom_site_type_symbol
_atom_site_fract_x
_atom_site_fract_y
_atom_site_fract_z
_atom_site_occupancy
Rb1 Rb 0.000 0.000 0.000 1
La1 La 0.000 0.000 0.500 1
Au1 Au 0.500 0.500 0.318 1
Au2 Au 0.500 0.500 0.682 1
```

***

Compound: Ce3Sc4
Source: the Alexandria database
Functional: GGA-PBE
Structure: optimized geometry

Summary:
Energy relative to the elements ... 7 kJ per mole of atoms

Structure (CIF):
```
data_Ce3Sc4
_cell_length_a 16.711
_cell_length_b 16.711
_cell_length_c 16.711
_cell_angle_alpha 168.67
_cell_angle_beta 168.67
_cell_angle_gamma 16.06
_space_group_name_H-M_alt 'P 1'
_space_group_IT_number 1
loop_
_space_group_symop_operation_xyz
'x,y,z'
loop_
_atom_site_label
_atom_site_type_symbol
_atom_site_fract_x
_atom_site_fract_y
_atom_site_fract_z
_atom_site_occupancy
Ce1 Ce 0.000 0.000 0.000 1
Ce2 Ce 0.285 0.285 0.000 1
Ce3 Ce 0.715 0.715 0.000 1
Sc1 Sc 0.143 0.143 0.000 1
Sc2 Sc 0.428 0.428 0.000 1
Sc3 Sc 0.572 0.572 0.000 1
Sc4 Sc 0.857 0.857 0.000 1
```

***

Compound: NdDy14Th
Source: the Alexandria database
Functional: GGA-PBE
Structure: optimized geometry

Summary:
Energy relative to the elements ... 1 kJ per mole of atoms

Structure (CIF):
```
data_NdDy14Th
_cell_length_a 11.509
_cell_length_b 7.133
_cell_length_c 7.133
_cell_angle_alpha 60.17
_cell_angle_beta 90.00
_cell_angle_gamma 90.00
_space_group_name_H-M_alt 'P 1'
_space_group_IT_number 1
loop_
_space_group_symop_operation_xyz
'x,y,z'
loop_
_atom_site_label
_atom_site_type_symbol
_atom_site_fract_x
_atom_site_fract_y
_atom_site_fract_z
_atom_site_occupancy
Nd1 Nd 0.000 0.000 0.000 1
Dy1 Dy 0.000 0.000 0.500 1
Dy2 Dy 0.000 0.500 0.000 1
Dy3 Dy 0.250 0.665 0.665 1
Dy4 Dy 0.252 0.170 0.665 1
Dy5 Dy 0.252 0.665 0.170 1
Dy6 Dy 0.253 0.167 0.167 1
Dy7 Dy 0.500 0.333 0.333 1
Dy8 Dy 0.500 0.333 0.834 1
Dy9 Dy 0.500 0.833 0.833 1
Dy10 Dy 0.500 0.834 0.333 1
Dy11 Dy 0.747 0.167 0.167 1
Dy12 Dy 0.748 0.170 0.665 1
Dy13 Dy 0.748 0.665 0.170 1
Dy14 Dy 0.750 0.665 0.665 1
Th1 Th 0.000 0.499 0.499 1
```

***

Compound: YPdPt4
Source: the Alexandria database
Functional: GGA-PBE
Structure: optimized geometry

Summary:
Energy relative to the elements ... -66 kJ per mole of atoms

Structure (CIF):
```
data_YPdPt4
_cell_length_a 5.329
_cell_length_b 5.329
_cell_length_c 5.329
_cell_angle_alpha 60.00
_cell_angle_beta 60.00
_cell_angle_gamma 60.00
_space_group_name_H-M_alt 'P 1'
_space_group_IT_number 1
loop_
_space_group_symop_operation_xyz
'x,y,z'
loop_
_atom_site_label
_atom_site_type_symbol
_atom_site_fract_x
_atom_site_fract_y
_atom_site_fract_z
_atom_site_occupancy
Y1 Y 0.000 0.000 0.000 1
Pd1 Pd 0.750 0.750 0.750 1
Pt1 Pt 0.375 0.375 0.375 1
Pt2 Pt 0.375 0.375 0.874 1
Pt3 Pt 0.375 0.874 0.375 1
Pt4 Pt 0.874 0.375 0.375 1
```

***

Compound: AlCr
Source: the Alexandria database
Functional: GGA-PBE
Structure: optimized geometry

Summary:
Energy relative to the elements ... 122 kJ per mole of atoms

Structure (CIF):
```
data_AlCr
_cell_length_a 6.617
_cell_length_b 6.617
_cell_length_c 6.617
_cell_angle_alpha 109.47
_cell_angle_beta 109.47
_cell_angle_gamma 109.47
_space_group_name_H-M_alt 'P 1'
_space_group_IT_number 1
loop_
_space_group_symop_operation_xyz
'x,y,z'
loop_
_atom_site_label
_atom_site_type_symbol
_atom_site_fract_x
_atom_site_fract_y
_atom_site_fract_z
_atom_site_occupancy
Al1 Al 0.000 0.000 0.582 1
Al2 Al 0.000 0.582 0.000 1
Al3 Al 0.418 0.418 0.418 1
Al4 Al 0.582 0.000 0.000 1
Cr1 Cr 0.000 0.000 0.205 1
Cr2 Cr 0.000 0.205 0.000 1
Cr3 Cr 0.205 0.000 0.000 1
Cr4 Cr 0.795 0.795 0.795 1
```

***

Compound: U4S
Source: the Alexandria database
Functional: GGA-PBE
Structure: optimized geometry

Summary:
Raw formation energy ... 383 meV/atom

Structure (CIF):
```
data_U4S
_cell_length_a 5.045
_cell_length_b 5.045
_cell_length_c 5.045
_cell_angle_alpha 90.00
_cell_angle_beta 90.00
_cell_angle_gamma 90.00
_space_group_name_H-M_alt 'P 1'
_space_group_IT_number 1
loop_
_space_group_symop_operation_xyz
'x,y,z'
loop_
_atom_site_label
_atom_site_type_symbol
_atom_site_fract_x
_atom_site_fract_y
_atom_site_fract_z
_atom_site_occupancy
U1 U 0.000 0.000 0.000 1
U2 U 0.000 0.500 0.500 1
U3 U 0.500 0.000 0.500 1
U4 U 0.500 0.500 0.000 1
S1 S 0.500 0.500 0.500 1
```

***

Number 1: VASP energy -3.678 eV/atom. Number 2: VASP energy -6.089 eV/atom. Number 3: VASP energy -4.773 eV/atom. Number 4: VASP energy -6.657 eV/atom. Number 5: VASP energy -5.422 eV/atom. Number 6: VASP energy -9.473 eV/atom.